{"formula": "LuGaHgPb", "functional": "PBE-GGA", "state": "optimized geometry", "delta_e_f_ev_per_atom": -0.1469, "lattice_angstrom": [[0.000, 3.694, 3.694], [3.694, 0.000, 3.694], [3.694, 3.694, 0.000]], "species": ["Lu", "Ga", "Hg", "Pb"], "fractional_positions": [[0.000, 0.000, 0.000], [0.750, 0.750, 0.750], [0.250, 0.250, 0.250], [0.500, 0.500, 0.500]]}

---

{"formula": "RbHgHO2", "functional": "PBE-GGA", "state": "optimized geometry", "e_above_lowest_polymorph_mev_per_atom": 1673, "lattice_angstrom": [[4.860, 0.000, 0.000], [0.000, 4.860, 0.000], [0.000, 0.000, 3.768]], "species": ["Rb", "Hg", "H", "O", "O"], "fractional_positions": [[0.000, 0.000, 0.000], [0.500, 0.500, 0.500], [0.000, 0.000, 0.500], [0.000, 0.500, 0.000], [0.500, 0.000, 0.000]]}

---

{"formula": "V2MoPd2", "functional": "PBE-GGA", "state": "optimized geometry", "delta_e_f_ev_per_atom": 0.1280, "e_above_lowest_polymorph_mev_per_atom": 55, "lattice_angstrom": [[6.362, 0.000, 0.000], [0.000, 6.362, 0.000], [0.000, 0.000, 3.754]], "species": ["V", "V", "V", "V", "Mo", "Mo", "Pd", "Pd", "Pd", "Pd"], "fractional_positions": [[0.142, 0.358, 0.000], [0.358, 0.858, 0.000], [0.642, 0.142, 0.000], [0.858, 0.642, 0.000], [0.000, 0.000, 0.000], [0.500, 0.500, 0.000], [0.159, 0.659, 0.500], [0.341, 0.159, 0.500], [0.659, 0.841, 0.500], [0.841, 0.341, 0.500]]}